{
  "formula": "Zr2NiPt",
  "functional": "GGA-PBE",
  "state": "optimized geometry",
  "ef_ev_per_atom": -0.763,
  "spacegroup": "Pm, No. 6",
  "energy_ev_per_atom": -7.99,
  "cell": [[3.428, 0.000, 0.000], [0.000, 4.196, 0.000], [-1.698, 0.000, 5.101]],
  "species": ["Zr", "Zr", "Ni", "Pt"],
  "fractional_positions": [[0.000, 0.000, 0.000], [0.282, 0.500, 0.567], [0.548, 0.500, 0.099], [0.722, 0.000, 0.447]]
}